No. 1
BaSr12Ca6: relaxed, PBE.

Lattice parameters (Å, degrees): 10.020 10.020 10.020 89.00 89.00 89.00
Fractional positions:
Ba 0.000 0.000 0.000
Sr 0.034 0.155 0.377
Sr 0.155 0.377 0.034
Sr 0.195 0.476 0.571
Sr 0.377 0.034 0.155
Sr 0.429 0.805 0.524
Sr 0.476 0.571 0.195
Sr 0.524 0.429 0.805
Sr 0.571 0.195 0.476
Sr 0.623 0.966 0.845
Sr 0.805 0.524 0.429
Sr 0.845 0.623 0.966
Sr 0.966 0.845 0.623
Ca 0.111 0.733 0.263
Ca 0.263 0.111 0.733
Ca 0.267 0.737 0.889
Ca 0.733 0.263 0.111
Ca 0.737 0.889 0.267
Ca 0.889 0.267 0.737

Output
- SG: No. 148
- Distance to the lowest polymorph of the same formula: 0.040 eV per atom
- Size of the total moment: 0.0 μB/f.u.

---

No. 2
LaTbAl2: relaxed, PBE.

Lattice parameters (Å, degrees): 6.843 6.843 7.081 90.00 90.00 139.41
Fractional positions:
La 0.063 0.937 0.750
La 0.937 0.063 0.250
Tb 0.220 0.780 0.250
Tb 0.780 0.220 0.750
Al 0.400 0.600 0.565
Al 0.400 0.600 0.935
Al 0.600 0.400 0.065
Al 0.600 0.400 0.435

Output
- SG: No. 63
- Distance to the lowest polymorph of the same formula: 0.004 eV per atom
- Size of the total moment: 0.0 μB/f.u.

---

No. 3
AuSe2BrN: relaxed, PBE.

Lattice parameters (Å, degrees): 5.477 5.477 3.752 90.00 90.00 90.00
Fractional positions:
Au 0.000 0.000 0.000
Se 0.000 0.500 0.000
Se 0.500 0.000 0.000
Br 0.500 0.500 0.500
N 0.000 0.000 0.500

Output
- SG: No. 123
- Distance to the lowest polymorph of the same formula: 0.039 eV per atom
- E_form (uncorrected): 1.19 eV per atom
- Size of the total moment: 0.4 μB/f.u.

---

no.,theoretical density (g/cm³)
1,2.360
2,5.415
3,6.622